No. 1
DFT (meta-GGA SCAN) results for a crystal of CrAsP2Cl relaxed with PBEsol.

```
CrAsP2Cl
1.0
-3.802 2.438 -1.347
-2.641 -2.432 3.054
0.888 3.231 3.341
Cr As P Cl
1 1 2 1
Direct
0.500 0.500 0.500
0.000 0.000 0.000
0.000 0.500 0.000
0.500 0.000 0.000
0.000 0.000 0.500
```

Results
E   -12.72 eV per atom


No. 2
DFT (meta-GGA SCAN) results for a crystal of Cs3AsCl6 relaxed with PBEsol.

```
Cs3AsCl6
1.0
7.985 0.000 0.000
3.992 6.915 0.000
3.992 2.305 6.520
Cs As Cl
3 1 6
Direct
0.750 0.750 0.750
0.250 0.250 0.250
0.500 0.500 0.500
0.000 0.000 0.000
0.220 0.780 0.220
0.220 0.780 0.780
0.780 0.220 0.220
0.220 0.220 0.780
0.780 0.780 0.220
0.780 0.220 0.780
```

Results
E   -19.78 eV per atom


No. 3
DFT (meta-GGA SCAN) results for a crystal of Cs3As2Cl9 relaxed with PBEsol.

```
Cs3As2Cl9
1.0
-3.803 -6.179 0.994
7.008 -0.312 -2.105
2.556 -0.199 8.538
Cs As Cl
3 2 9
Direct
0.000 0.000 0.000
0.333 0.667 0.326
0.667 0.333 0.674
0.333 0.667 0.818
0.667 0.333 0.182
0.500 0.500 0.000
0.500 0.000 0.000
0.000 0.500 0.000
0.821 0.642 0.326
0.358 0.179 0.326
0.821 0.179 0.326
0.179 0.821 0.674
0.179 0.358 0.674
0.642 0.821 0.674
```

Results
E   -17.60 eV per atom


No. 4
DFT (meta-GGA SCAN) results for a crystal of Cs2CuAsCl6 relaxed with PBEsol.

```
Cs2CuAsCl6
1.0
-1.233 6.963 -0.146
-1.685 3.419 5.958
4.624 4.473 2.940
Cs Cu As Cl
2 1 1 6
Direct
0.750 0.750 0.750
0.250 0.250 0.250
0.500 0.500 0.500
0.000 0.000 0.000
0.747 0.253 0.253
0.747 0.747 0.253
0.253 0.747 0.747
0.747 0.253 0.747
0.253 0.747 0.253
0.253 0.253 0.747
```

Results
E   -17.23 eV per atom


| no. | V (Å³/cell) |
| --- | --- |
| 1 | 105 |
| 2 | 360 |
| 3 | 414 |
| 4 | 250 |